VASP calculation (SCAN) on a PBEsol-optimized structure of KCr3H6S2O14.

Calculated values
The final energy comes out at -9.14 eV/atom. The crystal system is trigonal.

Unit cell a=7.014 b=7.014 c=7.014 alpha=61.64 beta=61.64 gamma=61.64
Fractional coordinates of all 26 atoms:
K 0.000 0.000 0.000
Cr 0.000 0.000 0.500
Cr 0.000 0.500 0.000
Cr 0.500 0.000 0.000
H 0.291 0.689 0.689
H 0.311 0.311 0.709
H 0.311 0.709 0.311
H 0.689 0.291 0.689
H 0.689 0.689 0.291
H 0.709 0.311 0.311
S 0.306 0.306 0.306
S 0.694 0.694 0.694
O 0.122 0.736 0.736
O 0.164 0.164 0.504
O 0.164 0.504 0.164
O 0.264 0.264 0.878
O 0.264 0.878 0.264
O 0.393 0.393 0.393
O 0.496 0.836 0.836
O 0.504 0.164 0.164
O 0.607 0.607 0.607
O 0.736 0.122 0.736
O 0.736 0.736 0.122
O 0.836 0.496 0.836
O 0.836 0.836 0.496
O 0.878 0.264 0.264

VASP calculation (SCAN) on a PBEsol-optimized structure of K2ZnCr4H4O16.

Calculated values
The final energy comes out at -9.78 eV/atom. The crystal system is triclinic.

Unit cell a=6.617 b=7.673 c=7.962 alpha=84.78 beta=80.45 gamma=64.68
Fractional coordinates of all 27 atoms:
K 0.053 0.258 0.316
K 0.947 0.742 0.684
Zn 0.500 0.500 0.000
Cr 0.280 0.999 0.839
Cr 0.455 0.293 0.662
Cr 0.545 0.707 0.338
Cr 0.720 0.001 0.161
H 0.081 0.665 0.109
H 0.221 0.616 0.268
H 0.779 0.384 0.732
H 0.919 0.335 0.891
O 0.119 0.163 0.978
O 0.137 0.005 0.694
O 0.206 0.558 0.165
O 0.286 0.348 0.523
O 0.303 0.710 0.420
O 0.340 0.451 0.814
O 0.389 0.787 0.928
O 0.495 0.940 0.255
O 0.505 0.060 0.745
O 0.611 0.213 0.072
O 0.660 0.549 0.186
O 0.697 0.290 0.580
O 0.714 0.652 0.477
O 0.794 0.442 0.835
O 0.863 0.995 0.306
O 0.881 0.837 0.022

VASP calculation (SCAN) on a PBEsol-optimized structure of LaCrH3.

Calculated values
The final energy comes out at -14.64 eV/atom. The crystal system is cubic.

Unit cell a=3.707 b=3.707 c=3.707 alpha=90.00 beta=90.00 gamma=90.00
Fractional coordinates of all 5 atoms:
La 0.000 0.000 0.000
Cr 0.500 0.500 0.500
H 0.000 0.500 0.500
H 0.500 0.000 0.500
H 0.500 0.500 0.000

VASP calculation (SCAN) on a PBEsol-optimized structure of LaCrHO5.

Calculated values
The final energy comes out at -14.46 eV/atom. The crystal system is monoclinic.

Unit cell a=4.696 b=13.107 c=7.161 alpha=90.00 beta=111.63 gamma=90.00
Fractional coordinates of all 32 atoms:
La 0.167 0.057 0.300
La 0.167 0.443 0.800
La 0.833 0.557 0.200
La 0.833 0.943 0.700
Cr 0.410 0.148 0.882
Cr 0.410 0.352 0.382
Cr 0.590 0.648 0.618
Cr 0.590 0.852 0.118
H 0.222 0.650 0.998
H 0.222 0.850 0.498
H 0.778 0.150 0.502
H 0.778 0.350 0.002
O 0.181 0.070 0.948
O 0.181 0.430 0.448
O 0.231 0.581 0.053
O 0.231 0.919 0.553
O 0.255 0.239 0.320
O 0.255 0.261 0.820
O 0.269 0.661 0.430
O 0.269 0.839 0.930
O 0.472 0.096 0.691
O 0.472 0.404 0.191
O 0.528 0.596 0.809
O 0.528 0.904 0.309
O 0.731 0.161 0.070
O 0.731 0.339 0.570
O 0.745 0.739 0.180
O 0.745 0.761 0.680
O 0.769 0.081 0.447
O 0.769 0.419 0.947
O 0.819 0.570 0.552
O 0.819 0.930 0.052

VASP calculation (SCAN) on a PBEsol-optimized structure of LiCr3H.

Calculated values
The final energy comes out at -9.86 eV/atom. The crystal system is cubic.

Unit cell a=3.825 b=3.825 c=3.825 alpha=90.00 beta=90.00 gamma=90.00
Fractional coordinates of all 5 atoms:
Li 0.000 0.000 0.000
Cr 0.000 0.000 0.500
Cr 0.000 0.500 0.000
Cr 0.500 0.000 0.000
H 0.500 0.500 0.500

VASP calculation (SCAN) on a PBEsol-optimized structure of Li2Cr2H4O9.

Calculated values
The final energy comes out at -8.24 eV/atom. The crystal system is monoclinic.

Unit cell a=5.317 b=5.317 c=12.708 alpha=94.31 beta=94.31 gamma=91.81
Fractional coordinates of all 34 atoms:
Li 0.000 0.500 0.500
Li 0.235 0.765 0.750
Li 0.500 0.000 0.000
Li 0.765 0.235 0.250
Cr 0.007 0.737 0.140
Cr 0.263 0.993 0.360
Cr 0.737 0.007 0.640
Cr 0.993 0.263 0.860
H 0.324 0.341 0.649
H 0.341 0.324 0.149
H 0.422 0.558 0.898
H 0.442 0.578 0.602
H 0.558 0.422 0.398
H 0.578 0.442 0.102
H 0.659 0.676 0.851
H 0.676 0.659 0.351
O 0.034 0.966 0.250
O 0.059 0.459 0.180
O 0.190 0.795 0.443
O 0.205 0.810 0.057
O 0.259 0.279 0.413
O 0.279 0.259 0.913
O 0.283 0.515 0.630
O 0.459 0.059 0.680
O 0.485 0.717 0.870
O 0.515 0.283 0.130
O 0.541 0.941 0.320
O 0.717 0.485 0.370
O 0.721 0.741 0.087
O 0.741 0.721 0.587
O 0.795 0.190 0.943
O 0.810 0.205 0.557
O 0.941 0.541 0.820
O 0.966 0.034 0.750

VASP calculation (SCAN) on a PBEsol-optimized structure of Li2Cr2H4O9.

Calculated values
The final energy comes out at -8.20 eV/atom. The crystal system is monoclinic.

Unit cell a=7.294 b=7.294 c=9.489 alpha=92.85 beta=92.85 gamma=61.84
Fractional coordinates of all 34 atoms:
Li 0.065 0.935 0.500
Li 0.108 0.305 0.899
Li 0.305 0.108 0.399
Li 0.935 0.065 0.000
Cr 0.309 0.639 0.929
Cr 0.418 0.914 0.725
Cr 0.639 0.309 0.429
Cr 0.914 0.418 0.225
H 0.026 0.602 0.471
H 0.230 0.859 0.224
H 0.346 0.744 0.367
H 0.602 0.026 0.971
H 0.744 0.346 0.867
H 0.751 0.867 0.085
H 0.859 0.230 0.724
H 0.867 0.751 0.585
O 0.038 0.274 0.089
O 0.076 0.387 0.357
O 0.157 0.538 0.896
O 0.209 0.824 0.051
O 0.245 0.882 0.329
O 0.274 0.038 0.589
O 0.325 0.746 0.772
O 0.387 0.076 0.857
O 0.467 0.539 0.475
O 0.538 0.157 0.396
O 0.539 0.467 0.975
O 0.659 0.790 0.688
O 0.733 0.984 0.027
O 0.746 0.325 0.272
O 0.790 0.659 0.188
O 0.824 0.209 0.551
O 0.882 0.245 0.829
O 0.984 0.733 0.527

VASP calculation (SCAN) on a PBEsol-optimized structure of MgCr3H.

Calculated values
The final energy comes out at -10.90 eV/atom. The crystal system is cubic.

Unit cell a=5.007 b=5.007 c=5.007 alpha=90.00 beta=90.00 gamma=90.00
Fractional coordinates of all 5 atoms:
Mg 0.000 0.000 0.000
Cr 0.000 0.000 0.500
Cr 0.000 0.500 0.000
Cr 0.500 0.000 0.000
H 0.500 0.500 0.500

VASP calculation (SCAN) on a PBEsol-optimized structure of MgCrH22O15.

Calculated values
The final energy comes out at -6.20 eV/atom. The crystal system is triclinic.

Unit cell a=6.623 b=6.850 c=17.013 alpha=88.52 beta=88.95 gamma=63.48
Fractional coordinates of all 78 atoms:
Mg 0.000 0.000 0.000
Mg 0.000 0.000 0.500
Cr 0.408 0.337 0.206
Cr 0.592 0.663 0.794
H 0.020 0.552 0.701
H 0.047 0.030 0.160
H 0.066 0.749 0.247
H 0.074 0.927 0.338
H 0.104 0.599 0.069
H 0.123 0.196 0.113
H 0.163 0.258 0.923
H 0.168 0.032 0.760
H 0.194 0.649 0.597
H 0.250 0.565 0.727
H 0.254 0.227 0.478
H 0.267 0.536 0.467
H 0.277 0.457 0.378
H 0.304 0.888 0.381
H 0.309 0.120 0.564
H 0.337 0.296 0.657
H 0.401 0.673 0.555
H 0.403 0.354 0.849
H 0.435 0.109 0.838
H 0.437 0.819 0.044
H 0.457 0.045 0.686
H 0.460 0.755 0.954
H 0.540 0.245 0.046
H 0.543 0.955 0.314
H 0.563 0.181 0.956
H 0.565 0.891 0.162
H 0.597 0.646 0.151
H 0.599 0.327 0.445
H 0.663 0.704 0.343
H 0.691 0.880 0.436
H 0.696 0.112 0.619
H 0.723 0.543 0.622
H 0.733 0.464 0.533
H 0.746 0.773 0.522
H 0.750 0.435 0.273
H 0.806 0.351 0.403
H 0.832 0.968 0.240
H 0.837 0.742 0.077
H 0.877 0.804 0.887
H 0.896 0.401 0.931
H 0.926 0.073 0.662
H 0.934 0.251 0.753
H 0.953 0.970 0.840
H 0.980 0.448 0.299
O 0.001 0.088 0.755
O 0.024 0.266 0.950
O 0.041 0.107 0.109
O 0.145 0.907 0.391
O 0.170 0.540 0.682
O 0.207 0.468 0.272
O 0.218 0.132 0.516
O 0.240 0.699 0.546
O 0.298 0.355 0.119
O 0.329 0.406 0.432
O 0.349 0.824 0.996
O 0.399 0.225 0.878
O 0.416 0.554 0.798
O 0.442 0.143 0.639
O 0.451 0.925 0.769
O 0.549 0.075 0.231
O 0.558 0.857 0.361
O 0.584 0.446 0.202
O 0.601 0.775 0.122
O 0.651 0.176 0.004
O 0.671 0.594 0.568
O 0.702 0.645 0.881
O 0.760 0.301 0.454
O 0.782 0.868 0.484
O 0.793 0.532 0.728
O 0.830 0.460 0.318
O 0.855 0.093 0.609
O 0.959 0.893 0.891
O 0.976 0.734 0.050
O 0.999 0.912 0.245

VASP calculation (SCAN) on a PBEsol-optimized structure of MnCr2H2.

Calculated values
The final energy comes out at -12.24 eV/atom. The crystal system is tetragonal.

Unit cell a=5.766 b=5.766 c=5.766 alpha=153.63 beta=153.63 gamma=37.64
Fractional coordinates of all 5 atoms:
Mn 0.000 0.000 0.000
Cr 0.357 0.357 0.000
Cr 0.643 0.643 0.000
H 0.250 0.750 0.500
H 0.750 0.250 0.500

VASP calculation (SCAN) on a PBEsol-optimized structure of Mn3CrH.

Calculated values
The final energy comes out at -15.31 eV/atom. The crystal system is cubic.

Unit cell a=3.544 b=3.544 c=3.544 alpha=90.00 beta=90.00 gamma=90.00
Fractional coordinates of all 5 atoms:
Mn 0.000 0.000 0.500
Mn 0.000 0.500 0.000
Mn 0.500 0.000 0.000
Cr 0.500 0.500 0.500
H 0.000 0.000 0.000

VASP calculation (SCAN) on a PBEsol-optimized structure of CrMo3H.

Calculated values
The final energy comes out at -24.96 eV/atom. The crystal system is cubic.

Unit cell a=3.928 b=3.928 c=3.928 alpha=90.00 beta=90.00 gamma=90.00
Fractional coordinates of all 5 atoms:
Cr 0.000 0.000 0.000
Mo 0.000 0.500 0.500
Mo 0.500 0.000 0.500
Mo 0.500 0.500 0.000
H 0.500 0.500 0.500